Record 1
! PBE-GGA Ac2NCl, relaxed; values from VASP
! Raw total energy, eV per formula unit: -23.91
! Spin magnetization, Bohr magnetons per cell: 0.00
! Uncorrected formation energy, eV/atom: -1.380
! Energy relative to the lowest polymorph listed for this composition, eV/atom: 0.0000
&SYSTEM
  ibrav = 0, nat = 12, ntyp = 3
/
ATOMIC_SPECIES
Ac 227.00 Ac.upf
N 14.01 N.upf
Cl 35.45 Cl.upf
ATOMIC_POSITIONS angstrom
Ac 0.000 0.000 5.232
Ac 0.000 0.000 17.457
Ac 0.000 2.256 9.894
Ac 0.000 2.256 20.358
Ac 1.954 1.128 2.331
Ac 1.954 1.128 12.795
N 0.000 0.000 11.344
N 0.000 2.256 3.781
N 1.954 1.128 18.907
Cl 0.000 0.000 0.000
Cl 0.000 2.256 15.126
Cl 1.954 1.128 7.563
CELL_PARAMETERS angstrom
3.908 0.000 0.000
-1.954 3.384 0.000
0.000 0.000 22.689

---

Record 2
! PBE-GGA Ac2NCl, relaxed; values from VASP
! Raw total energy, eV per formula unit: -21.44
! Spin magnetization, Bohr magnetons per cell: 0.00
! Uncorrected formation energy, eV/atom: -0.764
! Energy relative to the lowest polymorph listed for this composition, eV/atom: 0.6163
&SYSTEM
  ibrav = 0, nat = 4, ntyp = 3
/
ATOMIC_SPECIES
Ac 227.00 Ac.upf
N 14.01 N.upf
Cl 35.45 Cl.upf
ATOMIC_POSITIONS angstrom
Ac 0.000 0.000 1.600
Ac 0.000 0.000 5.735
N 1.740 1.740 0.000
Cl 1.740 1.740 3.668
CELL_PARAMETERS angstrom
3.480 0.000 0.000
0.000 3.480 0.000
0.000 0.000 7.335

---

Record 3
! PBE-GGA Ac4N2Cl3, relaxed; values from VASP
! Raw total energy, eV per formula unit: -52.05
! Spin magnetization, Bohr magnetons per cell: 0.00
! Uncorrected formation energy, eV/atom: -1.492
! Energy relative to the lowest polymorph listed for this composition, eV/atom: 0.0236
&SYSTEM
  ibrav = 0, nat = 9, ntyp = 3
/
ATOMIC_SPECIES
Ac 227.00 Ac.upf
N 14.01 N.upf
Cl 35.45 Cl.upf
ATOMIC_POSITIONS angstrom
Ac 1.041 0.000 1.837
Ac 4.234 0.000 3.387
Ac 9.292 0.000 5.274
Ac 12.485 0.000 6.825
N 3.392 0.000 5.942
N 10.134 0.000 2.720
Cl -0.890 0.000 4.331
Cl 6.166 0.000 0.825
Cl 7.360 0.000 7.837
CELL_PARAMETERS angstrom
7.653 -1.859 0.000
7.653 1.859 0.000
-1.781 0.000 8.662

---

Record 4
! PBE-GGA Ac4N2Cl3, relaxed; values from VASP
! Raw total energy, eV per formula unit: -52.27
! Spin magnetization, Bohr magnetons per cell: 0.00
! Uncorrected formation energy, eV/atom: -1.516
! Energy relative to the lowest polymorph listed for this composition, eV/atom: 0.0000
&SYSTEM
  ibrav = 0, nat = 9, ntyp = 3
/
ATOMIC_SPECIES
Ac 227.00 Ac.upf
N 14.01 N.upf
Cl 35.45 Cl.upf
ATOMIC_POSITIONS angstrom
Ac 1.428 0.000 3.602
Ac 4.618 0.000 2.027
Ac 7.910 0.000 7.211
Ac 11.100 0.000 5.636
N 2.058 0.000 6.057
N 10.470 0.000 3.181
Cl 1.977 0.000 0.365
Cl 6.264 0.000 4.619
Cl 10.550 0.000 8.873
CELL_PARAMETERS angstrom
7.138 -1.893 0.000
7.138 1.893 0.000
-1.749 0.000 9.238

---

Record 5
! PBE-GGA AcNCl, relaxed; values from VASP
! Raw total energy, eV per formula unit: -18.19
! Spin magnetization, Bohr magnetons per cell: 0.00
! Uncorrected formation energy, eV/atom: -1.304
! Energy relative to the lowest polymorph listed for this composition, eV/atom: 0.3196
&SYSTEM
  ibrav = 0, nat = 12, ntyp = 3
/
ATOMIC_SPECIES
Ac 227.00 Ac.upf
N 14.01 N.upf
Cl 35.45 Cl.upf
ATOMIC_POSITIONS angstrom
Ac 0.000 1.647 0.000
Ac 0.000 5.820 0.000
Ac 1.815 2.086 5.830
Ac 1.815 5.380 5.830
N 0.000 3.733 5.055
N 0.000 3.733 6.605
N 1.815 0.000 0.775
N 1.815 0.000 10.885
Cl 0.000 0.000 4.158
Cl 0.000 0.000 7.502
Cl 1.815 3.733 1.672
Cl 1.815 3.733 9.987
CELL_PARAMETERS angstrom
3.631 0.000 0.000
0.000 7.467 0.000
0.000 0.000 11.660

---

Record 6
! PBE-GGA Ac3N3Cl, relaxed; values from VASP
! Raw total energy, eV per formula unit: -48.21
! Spin magnetization, Bohr magnetons per cell: 0.00
! Uncorrected formation energy, eV/atom: -1.295
&SYSTEM
  ibrav = 0, nat = 14, ntyp = 3
/
ATOMIC_SPECIES
Ac 227.00 Ac.upf
N 14.01 N.upf
Cl 35.45 Cl.upf
ATOMIC_POSITIONS angstrom
Ac -2.498 -0.009 9.254
Ac -1.241 -2.168 13.995
Ac 1.257 -2.159 9.254
Ac -1.257 2.159 13.995
Ac 1.241 2.168 9.254
Ac 2.498 0.009 13.995
N -1.195 -2.094 8.767
N -2.411 -0.012 14.482
N -1.216 2.082 8.767
N 1.216 -2.082 14.482
N 2.411 0.012 8.767
N 1.195 2.094 14.482
Cl 0.000 0.000 3.881
Cl 0.000 0.000 19.368
CELL_PARAMETERS angstrom
3.668 2.118 7.750
-3.668 2.118 7.750
0.000 -4.235 7.750